(1)
A plane-wave DFT calculation with GGA-PBE was carried out for an optimized crystal structure of LiBe2Zn2.

* formation energy: 0.162 eV/atom
* crystal system: tetragonal
* calculated density: 4.12 g cm⁻³
* E above lowest polymorph: 0.148 eV per atom
* M_tot: 0.0 μB per formula unit
* uncorrected energy: -2.221 eV/atom

Cell lengths 3.1981, 3.1981, 12.2911 Å; angles 90.00, 90.00, 90.00 degrees
Last column: nearest neighbours and their distance in Å.
Space group I4/mmm (No. 139)
Inequivalent atoms, fractional coordinates:
Li  0.0000  0.0000  0.0000 [2 per cell]  8 Zn 2.60
Be  0.0000  0.5000  0.2500 [4 per cell]  4 Be 2.26, 4 Zn 2.40
Zn  0.0000  0.0000  0.3952 [4 per cell]  4 Be 2.40, 1 Zn 2.58, 4 Li 2.60

---

(2)
A plane-wave DFT calculation with GGA-PBE was carried out for an optimized crystal structure of NaYHo.

* formation energy: 0.148 eV/atom
* crystal system: trigonal
* calculated density: 4.65 g cm⁻³
* E above lowest polymorph: 0.000 eV per atom
* M_tot: 0.0 μB per formula unit
* uncorrected energy: -3.972 eV/atom

Cell lengths 3.5344, 3.5344, 9.1394 Å; angles 90.00, 90.00, 120.00 degrees
Last column: nearest neighbours and their distance in Å.
Space group P3m1 (No. 156)
Inequivalent atoms, fractional coordinates:
Na  0.0000  0.0000  0.0000 [1 per cell]  6 Na 3.53, 3 Ho 3.79, 3 Y 3.80
Y  0.3333  0.6667  0.6496 [1 per cell]  3 Ho 3.42, 6 Y 3.53, 3 Na 3.80
Ho  0.6667  0.3333  0.3488 [1 per cell]  3 Y 3.42, 6 Ho 3.53, 3 Na 3.79

---

(3)
A plane-wave DFT calculation with GGA-PBE was carried out for an optimized crystal structure of InReB2Pd.

* formation energy: 2.429 eV/atom
* crystal system: tetragonal
* calculated density: 7.70 g cm⁻³
* M_tot: 3.5 μB per formula unit
* uncorrected energy: -4.318 eV/atom

Cell lengths 4.2750, 4.2750, 5.0608 Å; angles 90.00, 90.00, 90.00 degrees
Last column: nearest neighbours and their distance in Å.
Space group P4/mmm (No. 123)
Inequivalent atoms, fractional coordinates:
In  0.0000  0.0000  0.0000 [1 per cell]  4 B 2.14
Re  0.5000  0.5000  0.5000 [1 per cell]  4 Pd 3.02, 8 B 3.31
B  0.0000  0.5000  0.0000 [2 per cell]  2 In 2.14
Pd  0.0000  0.0000  0.5000 [1 per cell]  2 In 2.53

---

(4)
A plane-wave DFT calculation with GGA-PBE was carried out for an optimized crystal structure of CaSc2F8.

* formation energy from raw total energies: -3.85 eV/atom
* crystal system: trigonal
* calculated density: 2.73 g cm⁻³
* M_tot: 0.0 μB per formula unit
* uncorrected energy: -6.547 eV/atom

Cell lengths 6.8986, 6.8986, 4.1555 Å; angles 90.00, 90.00, 120.00 degrees
Last column: nearest neighbours and their distance in Å.
Space group P-3m1 (No. 164)
Inequivalent atoms, fractional coordinates:
Ca  0.0000  0.0000  0.0000 [1 per cell]  6 F 2.29
Sc  0.3333  0.6667  0.2592 [2 per cell]  5 F 1.94-2.09
F  0.1709  0.3419  0.2510 [6 per cell]  1 Sc 1.94
F  0.3333  0.6667  0.7564 [2 per cell]  2 Sc 2.07-2.09

---

(5)
A plane-wave DFT calculation with GGA-PBE was carried out for an optimized crystal structure of BaTe2As.

* formation energy from raw total energies: -0.66 eV/atom
* crystal system: monoclinic
* calculated density: 5.70 g cm⁻³
* M_tot: 0.0 μB per formula unit
* uncorrected energy: -3.872 eV/atom

Cell lengths 4.8509, 4.1962, 7.0829 Å; angles 90.00, 109.15, 90.00 degrees
Last column: nearest neighbours and their distance in Å.
Space group P2/m (No. 10)
Inequivalent atoms, fractional coordinates:
Ba  0.0000  0.0000  0.0000 [1 per cell]  2 As 3.58, 8 Te 3.64-3.71
Te  0.3614  0.5000  0.7329 [2 per cell]  2 As 2.88
As  0.5000  0.0000  0.5000 [1 per cell]  4 Te 2.88

---

(6)
A plane-wave DFT calculation with GGA-PBE was carried out for an optimized crystal structure of Tb4Pr4Tl.

* formation energy: -0.040 eV/atom
* crystal system: tetragonal
* calculated density: 7.89 g cm⁻³
* M_tot: 0.0 μB per formula unit
* uncorrected energy: -4.485 eV/atom

Cell lengths 10.9078, 10.9078, 4.9637 Å; angles 90.00, 90.00, 90.00 degrees
Last column: nearest neighbours and their distance in Å.
Space group I4/mmm (No. 139)
Inequivalent atoms, fractional coordinates:
Tb  0.0000  0.3378  0.0000 [8 per cell]  5 Tb 3.52-3.54, 6 Pr 3.60-3.69, 1 Tl 3.69
Pr  0.1617  0.1617  0.5000 [8 per cell]  2 Tl 3.52, 4 Pr 3.53-3.69, 6 Tb 3.60-3.69
Tl  0.0000  0.0000  0.0000 [2 per cell]  8 Pr 3.52, 4 Tb 3.69

---

(7)
A plane-wave DFT calculation with GGA-PBE was carried out for an optimized crystal structure of KNaMg2Pd.

* formation energy: -0.130 eV/atom
* crystal system: tetragonal
* calculated density: 2.38 g cm⁻³
* E above lowest polymorph: 0.000 eV per atom
* M_tot: 0.0 μB per formula unit
* uncorrected energy: -2.290 eV/atom

Cell lengths 5.1630, 5.1630, 5.6900 Å; angles 90.00, 90.00, 90.00 degrees
Last column: nearest neighbours and their distance in Å.
Space group P4/mmm (No. 123)
Inequivalent atoms, fractional coordinates:
K  0.0000  0.0000  0.0000 [1 per cell]  4 Na 3.65, 8 Mg 3.84
Na  0.5000  0.5000  0.0000 [1 per cell]  2 Pd 2.85
Mg  0.0000  0.5000  0.5000 [2 per cell]  2 Pd 2.58
Pd  0.5000  0.5000  0.5000 [1 per cell]  4 Mg 2.58, 2 Na 2.85

---

(8)
A plane-wave DFT calculation with GGA-PBE was carried out for an optimized crystal structure of La2IrCl.

* formation energy from raw total energies: -0.94 eV/atom
* crystal system: monoclinic
* calculated density: 8.49 g cm⁻³
* E above lowest polymorph: 0.394 eV per atom
* M_tot: 0.0 μB per formula unit
* uncorrected energy: -6.084 eV/atom

Cell lengths 7.4886, 7.6990, 3.5363 Å; angles 90.00, 104.15, 90.00 degrees
Last column: nearest neighbours and their distance in Å.
Space group C2/m (No. 12)
Inequivalent atoms, fractional coordinates:
La  0.2500  0.2500  0.0000 [4 per cell]  2 Cl 2.95, 2 Ir 2.95
Ir  0.0000  0.0000  0.5000 [2 per cell]  4 La 2.95
Cl  0.0000  0.5000  0.5000 [2 per cell]  4 La 2.95

---

(9)
A plane-wave DFT calculation with GGA-PBE was carried out for an optimized crystal structure of Gd2ZrZn.

* formation energy: -0.107 eV/atom
* crystal system: tetragonal
* calculated density: 7.72 g cm⁻³
* E above lowest polymorph: 0.000 eV per atom
* M_tot: 14.5 μB per formula unit
* uncorrected energy: -9.603 eV/atom

Cell lengths 3.4331, 3.4331, 8.5954 Å; angles 90.00, 90.00, 90.00 degrees
Last column: nearest neighbours and their distance in Å.
Space group P4/mmm (No. 123)
Inequivalent atoms, fractional coordinates:
Gd  0.0000  0.0000  0.2289 [2 per cell]  4 Zn 3.13, 4 Zr 3.36, 4 Gd 3.43
Zr  0.5000  0.5000  0.5000 [1 per cell]  8 Gd 3.36, 4 Zr 3.43
Zn  0.5000  0.5000  0.0000 [1 per cell]  8 Gd 3.13, 4 Zn 3.43

---

(10)
A plane-wave DFT calculation with GGA-PBE was carried out for an optimized crystal structure of SrTbP2.

* formation energy: -1.155 eV/atom
* crystal system: trigonal
* calculated density: 4.90 g cm⁻³
* M_tot: 0.0 μB per formula unit
* uncorrected energy: -5.438 eV/atom

Cell lengths 4.1446, 4.1446, 21.0926 Å; angles 90.00, 90.00, 120.00 degrees
Last column: nearest neighbours and their distance in Å.
Space group R-3m (No. 166, hexagonal axes)
Inequivalent atoms, fractional coordinates:
Sr  0.0000  0.0000  0.0000 [3 per cell]  6 P 3.09
Tb  0.0000  0.0000  0.5000 [3 per cell]  6 P 2.86
P  0.0000  0.0000  0.2408 [6 per cell]  3 Tb 2.86, 3 Sr 3.09

---

(11)
A plane-wave DFT calculation with GGA-PBE was carried out for an optimized crystal structure of TaGaO4.

* formation energy from raw total energies: -2.39 eV/atom
* crystal system: orthorhombic
* calculated density: 7.89 g cm⁻³
* M_tot: 0.0 μB per formula unit
* uncorrected energy: -8.175 eV/atom

Cell lengths 5.6472, 9.3545, 5.0132 Å; angles 90.00, 90.00, 90.00 degrees
Last column: nearest neighbours and their distance in Å.
Space group Pna2_1 (No. 33)
Inequivalent atoms, fractional coordinates:
Ta  0.0834  0.1269  0.0000 [4 per cell]  5 O 1.93-2.06
Ga  0.0671  0.6208  0.9830 [4 per cell]  4 O 1.92-2.01
O  0.1221  0.7373  0.3144 [4 per cell]  2 Ta 1.96-2.17, 1 Ga 2.01
O  0.1361  0.0085  0.6594 [4 per cell]  2 Ta 1.94-2.06, 1 Ga 2.17
O  0.1398  0.5131  0.6543 [4 per cell]  2 Ga 1.92-1.97, 1 Ta 2.04
O  0.1446  0.2400  0.3140 [4 per cell]  1 Ta 1.93, 2 Ga 1.96-2.15

---

(12)
A plane-wave DFT calculation with GGA-PBE was carried out for an optimized crystal structure of BeNi2.

* formation energy: -0.221 eV/atom
* crystal system: tetragonal
* calculated density: 7.12 g cm⁻³
* M_tot: 0.0 μB per formula unit
* uncorrected energy: -5.318 eV/atom

Cell lengths 3.3825, 3.3825, 20.6092 Å; angles 90.00, 90.00, 90.00 degrees
Last column: nearest neighbours and their distance in Å.
Space group I4_1/amd (No. 141, origin choice 2)
Inequivalent atoms, fractional coordinates:
Be  0.0000  0.2500  0.2946 [8 per cell]  10 Ni 2.36-2.42, 2 Be 2.50
Ni  0.0000  0.2500  0.1242 [8 per cell]  4 Be 2.36-2.38, 8 Ni 2.39-2.46
Ni  0.0000  0.2500  0.7894 [8 per cell]  6 Ni 2.35-2.46, 6 Be 2.39-2.42